# 1
Computed, not measured: a relaxed Sc2Nb2Si crystal at the PBE level of DFT.

POSCAR file:
```
Sc2Nb2Si
1.0
-0.559 6.654 -1.059
-0.617 -1.109 -6.641
-4.341 -0.293 0.452
Sc Nb Si
4 4 2
Cartesian
-2.671 0.205 -4.353 Sc
-3.058 3.340 -6.033 Sc
-2.846 5.047 -2.895 Sc
-2.459 1.912 -1.216 Sc
-0.729 1.428 -6.073 Nb
-0.876 4.993 -5.176 Nb
-0.447 4.118 -1.627 Nb
-0.300 0.552 -2.525 Nb
0.000 0.000 0.000 Si
-0.588 2.773 -3.850 Si
```

Fermi-level density of states: 0.373 states/eV per atom
SG: P4/mbm, No. 127
raw total energy: -7.741 eV per atom
total moment: 0.000 μB/f.u.
formation energy without anion corrections: -0.10 eV/atom
calculated volume: 19.996 A^3/atom

# 2
Computed, not measured: a relaxed ScNb2Si2 crystal at the PBE level of DFT.

POSCAR file:
```
ScNb2Si2
1.0
6.919 0.000 0.000
0.000 6.919 0.000
0.000 0.000 3.464
Sc Nb Si
2 4 4
Cartesian
0.000 0.000 0.000 Sc
3.460 3.460 0.000 Sc
1.170 4.630 1.732 Nb
4.630 5.749 1.732 Nb
5.749 2.289 1.732 Nb
2.289 1.170 1.732 Nb
2.595 6.055 0.000 Si
6.055 4.324 0.000 Si
4.324 0.865 0.000 Si
0.865 2.595 0.000 Si
```

Fermi-level density of states: 0.562 states/eV per atom
SG: P4/mbm, No. 127
raw total energy: -8.199 eV per atom
total moment: 0.000 μB/f.u.
formation energy without anion corrections: -0.74 eV/atom
calculated volume: 16.583 A^3/atom